Material: LiMnPO4
Method: DFT, PBE+U
State: optimized geometry

Lattice parameters (Å, degrees): 8.1437 8.6260 4.7917 90.00 90.00 90.00
Positions (direct):
1 Li 0.1132 0.0074 0.0000
2 Li 0.3868 0.5074 0.5000
3 Li 0.6132 0.4926 0.0000
4 Li 0.8868 0.9926 0.5000
5 Mn 0.0580 0.6583 0.9069
6 Mn 0.4420 0.1583 0.4069
7 Mn 0.5580 0.8417 0.9069
8 Mn 0.9420 0.3417 0.4069
9 P 0.2370 0.8336 0.4906
10 P 0.2630 0.3336 0.9906
11 P 0.7370 0.6664 0.4906
12 P 0.7630 0.1664 0.9906
13 O 0.0930 0.9174 0.6353
14 O 0.0980 0.4250 0.0466
15 O 0.2059 0.8174 0.1716
16 O 0.2455 0.1714 0.1255
17 O 0.2545 0.6714 0.6255
18 O 0.2941 0.3174 0.6716
19 O 0.4020 0.9250 0.5466
20 O 0.4070 0.4174 0.1353
21 O 0.5930 0.5826 0.6353
22 O 0.5980 0.0750 0.0466
23 O 0.7059 0.6826 0.1716
24 O 0.7455 0.3286 0.1255
25 O 0.7545 0.8286 0.6255
26 O 0.7941 0.1826 0.6716
27 O 0.9020 0.5750 0.5466
28 O 0.9070 0.0826 0.1353

Summary:
M_tot = 5.00 μB per formula unit
electronic total energy = -7.116 eV per atom